No. 1
Entry from OQMD via LeMat-Bulk: a relaxed NdInO3 crystal (GGA-PBE).

Properties
- energy (eV per atom) = -6.85
- calculated density (g cm⁻³) = 7.47

Cell: 5.7139 5.7139 5.7139 Å, 61.53 61.53 61.53°
Atoms (fractional coordinates):
O (0.8590, 0.2500, 0.6410)
O (0.7500, 0.3590, 0.1410)
O (0.1410, 0.7500, 0.3590)
O (0.3590, 0.1410, 0.7500)
O (0.6410, 0.8590, 0.2500)
O (0.2500, 0.6410, 0.8590)
Nd (0.7500, 0.7500, 0.7500)
Nd (0.2500, 0.2500, 0.2500)
In (0.0000, 0.0000, 0.0000)
In (0.5000, 0.5000, 0.5000)

No. 2
Entry from OQMD via LeMat-Bulk: a relaxed NdIn2O4 crystal (GGA-PBE).

Properties
- energy (eV per atom) = -6.23
- calculated density (g cm⁻³) = 6.65

Cell: 6.7637 6.7637 6.7637 Å, 60.00 60.00 60.00°
Atoms (fractional coordinates):
In (0.1250, 0.6250, 0.6250)
In (0.6250, 0.1250, 0.6250)
In (0.6250, 0.6250, 0.1250)
In (0.6250, 0.6250, 0.6250)
O (0.4103, 0.8632, 0.8632)
O (0.8632, 0.8632, 0.8632)
O (0.8632, 0.4103, 0.8632)
O (0.3868, 0.3868, 0.8397)
O (0.8632, 0.8632, 0.4103)
O (0.3868, 0.3868, 0.3868)
O (0.3868, 0.8397, 0.3868)
O (0.8397, 0.3868, 0.3868)
Nd (0.2500, 0.2500, 0.2500)
Nd (0.0000, 0.0000, 0.0000)

Which formula does entry 2 have? NdIn2O4

Among the records above, which one has the highest energy? NdIn2O4

Which value of calculated density does entry 1 give? 7.47 g cm⁻³